(a)
A plane-wave DFT calculation with PBE-GGA was carried out for a relaxed structure of Sr2Er.

Output
Magnetic moment: 0.14 μB per formula unit
Calculated volume: 656.7 Å³/cell
Crystal system: cubic

Cell: 8.692 8.692 8.692 Å, 90.00 90.00 90.00°
Space group Fm-3m (No. 225)
Symmetry-distinct sites (fractional):
Sr  0.250  0.250  0.250
Er  0.000  0.000  0.000

=====

(b)
A plane-wave DFT calculation with PBE-GGA was carried out for a relaxed structure of Sr2Er.

Output
Magnetic moment: 1.20 μB per formula unit
Calculated volume: 1070.0 Å³/cell
Crystal system: cubic

Cell: 10.228 10.228 10.228 Å, 90.00 90.00 90.00°
Space group Fd-3m (No. 227, origin choice 2)
Symmetry-distinct sites (fractional):
Sr  0.000  0.000  0.000
Er  0.125  0.125  0.625

=====

The least stable of them is (a).

=====

(a)
A plane-wave DFT calculation with PBE-GGA was carried out for a relaxed structure of ErTa.

Output
Magnetic moment: 2.37 μB per formula unit
Calculated volume: 274.5 Å³/cell
Crystal system: cubic

Cell: 6.499 6.499 6.499 Å, 90.00 90.00 90.00°
Space group F-43m (No. 216)
Symmetry-distinct sites (fractional):
Er  0.000  0.000  0.000
Ta  0.250  0.250  0.750

=====

(b)
A plane-wave DFT calculation with PBE-GGA was carried out for a relaxed structure of ErTa.

Output
Magnetic moment: 0.04 μB per formula unit
Calculated volume: 202.4 Å³/cell
Crystal system: cubic

Cell: 5.871 5.871 5.871 Å, 90.00 90.00 90.00°
Space group Fm-3m (No. 225)
Symmetry-distinct sites (fractional):
Er  0.000  0.000  0.000
Ta  0.000  0.000  0.500

=====

The least stable of them is (a).

=====

(a)
A plane-wave DFT calculation with PBE-GGA was carried out for a relaxed structure of ErTaTl.

Output
Magnetic moment: 2.96 μB per formula unit
Calculated volume: 343.1 Å³/cell
Crystal system: cubic

Cell: 7.000 7.000 7.000 Å, 90.00 90.00 90.00°
Space group F-43m (No. 216)
Symmetry-distinct sites (fractional):
Er  0.000  0.000  0.000
Ta  0.250  0.250  0.750
Tl  0.250  0.250  0.250

=====

(b)
A plane-wave DFT calculation with PBE-GGA was carried out for a relaxed structure of ErTaTl.

Output
Magnetic moment: 0.09 μB per formula unit
Calculated volume: 316.5 Å³/cell
Crystal system: cubic

Cell: 6.815 6.815 6.815 Å, 90.00 90.00 90.00°
Space group F-43m (No. 216)
Symmetry-distinct sites (fractional):
Er  0.000  0.000  0.000
Ta  0.000  0.000  0.500
Tl  0.250  0.250  0.250

=====

The least stable of them is (a).

=====

(a)
A plane-wave DFT calculation with PBE-GGA was carried out for a relaxed structure of ErTaZn.

Output
Magnetic moment: 0.04 μB per formula unit
Calculated volume: 266.3 Å³/cell
Crystal system: cubic

Cell: 6.433 6.433 6.433 Å, 90.00 90.00 90.00°
Space group F-43m (No. 216)
Symmetry-distinct sites (fractional):
Er  0.000  0.000  0.000
Ta  0.000  0.000  0.500
Zn  0.250  0.250  0.250

=====

(b)
A plane-wave DFT calculation with PBE-GGA was carried out for a relaxed structure of ErTaZn.

Output
Magnetic moment: 2.28 μB per formula unit
Calculated volume: 299.7 Å³/cell
Crystal system: cubic

Cell: 6.692 6.692 6.692 Å, 90.00 90.00 90.00°
Space group F-43m (No. 216)
Symmetry-distinct sites (fractional):
Er  0.000  0.000  0.000
Ta  0.250  0.250  0.750
Zn  0.250  0.250  0.250

=====

The least stable of them is (b).